[1]
The following is a DFT calculation (PBEsol) of crystalline Hf2HCl2 at its relaxed geometry.

Results
For the spin magnetization, the calculation gives 0.000 μB/atom. The space group is P4/mbm, No. 127. The value obtained for the total energy is -5.71 eV per atom.

a = 3.1529 Å, b = 6.9646 Å, c = 6.9646 Å
α = 90.00°, β = 90.00°, γ = 90.00°
Last column: nearest neighbours and their distance in Å.
Fractional positions:
H 0.0000 0.0000 0.0000  4 Hf 2.59
H 0.0000 0.5000 0.5000  4 Hf 2.59
Hf 0.0000 0.3320 0.8320  6 Cl 2.48-2.66, 2 H 2.59
Hf 0.0000 0.8320 0.6680  6 Cl 2.48-2.66, 2 H 2.59
Hf 0.0000 0.6680 0.1680  6 Cl 2.48-2.66, 2 H 2.59
Hf 0.0000 0.1680 0.3320  6 Cl 2.48-2.66, 2 H 2.59
Cl 0.5000 0.1382 0.6382  6 Hf 2.48-2.66, 1 Cl 2.72
Cl 0.5000 0.6382 0.8618  6 Hf 2.48-2.66, 1 Cl 2.72
Cl 0.5000 0.8618 0.3618  6 Hf 2.48-2.66, 1 Cl 2.72
Cl 0.5000 0.3618 0.1382  6 Hf 2.48-2.66, 1 Cl 2.72



[2]
The following is a DFT calculation (PBEsol) of crystalline HfP2HCl at its relaxed geometry.

Results
For the spin magnetization, the calculation gives 0.000 μB/atom. The space group is P4/mmm, No. 123. The value obtained for the total energy is -5.53 eV per atom.

a = 3.7118 Å, b = 3.7118 Å, c = 4.8080 Å
α = 90.00°, β = 90.00°, γ = 90.00°
Last column: nearest neighbours and their distance in Å.
Fractional positions:
P 0.0000 0.5000 0.0000  2 H 1.86
P 0.5000 0.0000 0.0000  2 H 1.86
Hf 0.5000 0.5000 0.5000  4 Cl 2.62
H 0.0000 0.0000 0.0000  4 P 1.86
Cl 0.0000 0.0000 0.5000  2 H 2.40, 4 Hf 2.62